Record 1
Density functional theory data (PBE) for a relaxed NbTe2I crystal.

- mass density (g/cm³) = 6.34
- energy relative to the lowest polymorph listed for this composition (eV per formula unit) = 0.29
- uncorrected energy (eV per atom) = -4.664
- total magnetization (μB per formula unit) = 0.00
- ΔE_f (raw) (eV/atom) = -0.19

abc: 3.8616 3.8616 28.9012
angles: 90.00 90.00 120.00
Closest atoms and distances in Å follow each position.
Element x y z (fractional)
Nb 0.0000 0.0000 0.0000  6 Te 2.83
Nb 0.3333 0.6667 0.6667  6 Te 2.83
Nb 0.6667 0.3333 0.3333  6 Te 2.83
Te 0.0000 0.0000 0.3935  3 Nb 2.83, 1 I 3.08
Te 0.0000 0.0000 0.6065  3 Nb 2.83, 1 I 3.08
Te 0.3333 0.6667 0.0602  3 Nb 2.83, 1 I 3.08
Te 0.3333 0.6667 0.2732  3 Nb 2.83, 1 I 3.08
Te 0.6667 0.3333 0.7268  3 Nb 2.83, 1 I 3.08
Te 0.6667 0.3333 0.9398  3 Nb 2.83, 1 I 3.08
I 0.0000 0.0000 0.5000  2 Te 3.08
I 0.3333 0.6667 0.1667  2 Te 3.08
I 0.6667 0.3333 0.8333  2 Te 3.08

=====

Record 2
Density functional theory data (PBE) for a relaxed FeP3Cl crystal.

- mass density (g/cm³) = 3.59
- energy relative to the lowest polymorph listed for this composition (eV per formula unit) = 0.00
- uncorrected energy (eV per atom) = -4.784
- total magnetization (μB per formula unit) = 0.00
- ΔE_f (raw) (eV/atom) = 0.52

abc: 4.3985 4.3985 4.3985
angles: 90.00 90.00 90.00
Closest atoms and distances in Å follow each position.
Element x y z (fractional)
Fe 0.0000 0.0000 0.0000  6 P 2.20
P 0.0000 0.0000 0.5000  2 Fe 2.20
P 0.0000 0.5000 0.0000  2 Fe 2.20
P 0.5000 0.0000 0.0000  2 Fe 2.20
Cl 0.5000 0.5000 0.5000  12 P 3.11

=====

Record 3
Density functional theory data (PBE) for a relaxed In2ReSbBr crystal.

- mass density (g/cm³) = 7.32
- uncorrected energy (eV per atom) = -4.028
- total magnetization (μB per formula unit) = 1.03
- ΔE_f (raw) (eV/atom) = 0.72

abc: 5.4959 5.4959 4.6353
angles: 90.00 90.00 90.00
Closest atoms and distances in Å follow each position.
Element x y z (fractional)
In 0.0000 0.5000 0.0000  2 Re 2.75
In 0.5000 0.0000 0.0000  2 Re 2.75
Re 0.0000 0.0000 0.0000  2 Br 2.32
Sb 0.5000 0.5000 0.5000  8 In 3.59, 4 Br 3.89
Br 0.0000 0.0000 0.5000  2 Re 2.32